No. 1
# Sm2Y2Ho15, relaxed, DFT GGA-PBE
data_Sm2Y2Ho15
_space_group_name_H-M_alt 'P 1'
_space_group_IT_number 1
_space_group_name_Hall 'P 1'
_cell_length_a 8.698
_cell_length_b 8.698
_cell_length_c 8.698
_cell_angle_alpha 79.95
_cell_angle_beta 79.95
_cell_angle_gamma 79.95
loop_
_atom_site_label
_atom_site_type_symbol
_atom_site_fract_x
_atom_site_fract_y
_atom_site_fract_z
_atom_site_occupancy
Sm1 Sm 0.326 0.326 0.326 1
Sm2 Sm 0.674 0.674 0.674 1
Y1 Y 0.098 0.098 0.098 1
Y2 Y 0.902 0.902 0.902 1
Ho1 Ho 0.000 0.000 0.500 1
Ho2 Ho 0.500 0.000 0.000 1
Ho3 Ho 0.000 0.500 0.000 1
Ho4 Ho 0.299 0.701 0.000 1
Ho5 Ho 0.000 0.299 0.701 1
Ho6 Ho 0.701 0.000 0.299 1
Ho7 Ho 0.000 0.701 0.299 1
Ho8 Ho 0.299 0.000 0.701 1
Ho9 Ho 0.701 0.299 0.000 1
Ho10 Ho 0.632 0.632 0.149 1
Ho11 Ho 0.149 0.632 0.632 1
Ho12 Ho 0.632 0.149 0.632 1
Ho13 Ho 0.368 0.368 0.851 1
Ho14 Ho 0.851 0.368 0.368 1
Ho15 Ho 0.368 0.851 0.368 1
# total moment	0.00	μB per atom
# formation enthalpy at 0 K	281	meV per atom
# crystal system	trigonal
# space-group type	No. 166
# density of states at the Fermi level	36.7	states/eV/cell

=====

No. 2
# Hf3ZnFe, relaxed, DFT GGA-PBE
data_Hf3ZnFe
_space_group_name_H-M_alt 'P 1'
_space_group_IT_number 1
_space_group_name_Hall 'P 1'
_cell_length_a 5.282
_cell_length_b 5.282
_cell_length_c 8.597
_cell_angle_alpha 64.20
_cell_angle_beta 64.20
_cell_angle_gamma 65.46
loop_
_atom_site_label
_atom_site_type_symbol
_atom_site_fract_x
_atom_site_fract_y
_atom_site_fract_z
_atom_site_occupancy
Hf1 Hf 0.302 0.302 0.895 1
Hf2 Hf 0.698 0.698 0.105 1
Hf3 Hf 0.066 0.066 0.726 1
Hf4 Hf 0.934 0.934 0.274 1
Hf5 Hf 0.710 0.710 0.726 1
Hf6 Hf 0.290 0.290 0.274 1
Zn1 Zn 0.705 0.295 0.500 1
Zn2 Zn 0.295 0.705 0.500 1
Fe1 Fe 0.250 0.750 0.000 1
Fe2 Fe 0.750 0.250 0.000 1
# total moment	0.00	μB per atom
# formation enthalpy at 0 K	-160	meV per atom
# crystal system	monoclinic
# space-group type	No. 12
# density of states at the Fermi level	10.5	states/eV/cell
# polymorph energy (0 for the lowest one)	0.00	eV per formula unit

=====

No. 3
# SrScHgPb, relaxed, DFT GGA-PBE
data_SrScHgPb
_space_group_name_H-M_alt 'P 1'
_space_group_IT_number 1
_space_group_name_Hall 'P 1'
_cell_length_a 5.410
_cell_length_b 5.410
_cell_length_c 5.410
_cell_angle_alpha 60.00
_cell_angle_beta 60.00
_cell_angle_gamma 60.00
loop_
_atom_site_label
_atom_site_type_symbol
_atom_site_fract_x
_atom_site_fract_y
_atom_site_fract_z
_atom_site_occupancy
Pb1 Pb 0.500 0.500 0.500 1
Sr1 Sr 0.250 0.250 0.250 1
Sc1 Sc 0.750 0.750 0.750 1
Hg1 Hg 0.000 0.000 0.000 1
# total moment	0.00	μB per atom
# formation enthalpy at 0 K	-356	meV per atom
# crystal system	cubic
# space-group type	No. 216
# density of states at the Fermi level	3.8	states/eV/cell

=====

No. 4
# Ca3Cl, relaxed, DFT GGA-PBE
data_Ca3Cl
_space_group_name_H-M_alt 'P 1'
_space_group_IT_number 1
_space_group_name_Hall 'P 1'
_cell_length_a 13.352
_cell_length_b 13.352
_cell_length_c 13.352
_cell_angle_alpha 159.41
_cell_angle_beta 159.41
_cell_angle_gamma 29.28
loop_
_atom_site_label
_atom_site_type_symbol
_atom_site_fract_x
_atom_site_fract_y
_atom_site_fract_z
_atom_site_occupancy
Ca1 Ca 0.500 0.000 0.500 1
Ca2 Ca 0.000 0.500 0.500 1
Ca3 Ca 0.750 0.250 0.500 1
Ca4 Ca 0.250 0.750 0.500 1
Ca5 Ca 0.124 0.124 0.000 1
Ca6 Ca 0.876 0.876 0.000 1
Cl1 Cl 0.332 0.332 0.000 1
Cl2 Cl 0.668 0.668 0.000 1
# total moment	0.00	μB per atom
# crystal system	tetragonal
# formation energy (no corrections)	-0.428	eV/atom
# space-group type	No. 139
# density of states at the Fermi level	4.6	states/eV/cell
# polymorph energy (0 for the lowest one)	1.43	eV per formula unit

=====

No. 5
# BaRhPb2, relaxed, DFT GGA-PBE
data_BaRhPb2
_space_group_name_H-M_alt 'P 1'
_space_group_IT_number 1
_space_group_name_Hall 'P 1'
_cell_length_a 5.343
_cell_length_b 5.343
_cell_length_c 5.343
_cell_angle_alpha 60.00
_cell_angle_beta 60.00
_cell_angle_gamma 60.00
loop_
_atom_site_label
_atom_site_type_symbol
_atom_site_fract_x
_atom_site_fract_y
_atom_site_fract_z
_atom_site_occupancy
Pb1 Pb 0.250 0.250 0.250 1
Pb2 Pb 0.750 0.750 0.750 1
Rh1 Rh 0.000 0.000 0.000 1
Ba1 Ba 0.500 0.500 0.500 1
# total moment	0.00	μB per atom
# formation enthalpy at 0 K	-7	meV per atom
# crystal system	cubic
# space-group type	No. 225
# density of states at the Fermi level	3.6	states/eV/cell

=====

No. 6
# AcInPt, relaxed, DFT GGA-PBE
data_AcInPt
_space_group_name_H-M_alt 'P 1'
_space_group_IT_number 1
_space_group_name_Hall 'P 1'
_cell_length_a 4.683
_cell_length_b 8.750
_cell_length_c 7.585
_cell_angle_alpha 90.00
_cell_angle_beta 90.00
_cell_angle_gamma 90.00
loop_
_atom_site_label
_atom_site_type_symbol
_atom_site_fract_x
_atom_site_fract_y
_atom_site_fract_z
_atom_site_occupancy
Ac1 Ac 0.250 0.818 0.464 1
Ac2 Ac 0.750 0.318 0.036 1
Ac3 Ac 0.250 0.682 0.964 1
Ac4 Ac 0.750 0.182 0.536 1
In1 In 0.750 0.937 0.142 1
In2 In 0.750 0.563 0.642 1
In3 In 0.250 0.063 0.858 1
In4 In 0.250 0.437 0.358 1
Pt1 Pt 0.750 0.618 0.261 1
Pt2 Pt 0.750 0.882 0.761 1
Pt3 Pt 0.250 0.118 0.239 1
Pt4 Pt 0.250 0.382 0.739 1
# total moment	0.00	μB per atom
# formation enthalpy at 0 K	-912	meV per atom
# crystal system	orthorhombic
# space-group type	No. 62
# density of states at the Fermi level	6.9	states/eV/cell
# polymorph energy (0 for the lowest one)	0.00	eV per formula unit

=====

No. 7
# Pm16Pr6Tm7, relaxed, DFT GGA-PBE
data_Pm16Pr6Tm7
_space_group_name_H-M_alt 'P 1'
_space_group_IT_number 1
_space_group_name_Hall 'P 1'
_cell_length_a 11.286
_cell_length_b 11.286
_cell_length_c 11.286
_cell_angle_alpha 60.00
_cell_angle_beta 60.00
_cell_angle_gamma 60.00
loop_
_atom_site_label
_atom_site_type_symbol
_atom_site_fract_x
_atom_site_fract_y
_atom_site_fract_z
_atom_site_occupancy
Pm1 Pm 0.878 0.878 0.366 1
Pm2 Pm 0.878 0.878 0.878 1
Pm3 Pm 0.878 0.366 0.878 1
Pm4 Pm 0.366 0.878 0.878 1
Pm5 Pm 0.122 0.122 0.122 1
Pm6 Pm 0.122 0.122 0.634 1
Pm7 Pm 0.122 0.634 0.122 1
Pm8 Pm 0.634 0.122 0.122 1
Pm9 Pm 0.654 0.654 0.038 1
Pm10 Pm 0.654 0.654 0.654 1
Pm11 Pm 0.654 0.038 0.654 1
Pm12 Pm 0.038 0.654 0.654 1
Pm13 Pm 0.346 0.346 0.346 1
Pm14 Pm 0.346 0.346 0.962 1
Pm15 Pm 0.346 0.962 0.346 1
Pm16 Pm 0.962 0.346 0.346 1
Pr1 Pr 0.291 0.709 0.291 1
Pr2 Pr 0.709 0.291 0.709 1
Pr3 Pr 0.709 0.291 0.291 1
Pr4 Pr 0.291 0.709 0.709 1
Pr5 Pr 0.709 0.709 0.291 1
Pr6 Pr 0.291 0.291 0.709 1
Tm1 Tm 0.000 0.000 0.000 1
Tm2 Tm 0.500 0.000 0.500 1
Tm3 Tm 0.000 0.500 0.000 1
Tm4 Tm 0.000 0.500 0.500 1
Tm5 Tm 0.500 0.000 0.000 1
Tm6 Tm 0.000 0.000 0.500 1
Tm7 Tm 0.500 0.500 0.000 1
# total moment	0.13	μB per atom
# formation enthalpy at 0 K	203	meV per atom
# crystal system	cubic
# space-group type	No. 225
# density of states at the Fermi level	53.8	states/eV/cell

=====

No. 8
# Li2ZnCr, relaxed, DFT GGA-PBE
data_Li2ZnCr
_space_group_name_H-M_alt 'P 1'
_space_group_IT_number 1
_space_group_name_Hall 'P 1'
_cell_length_a 2.501
_cell_length_b 2.501
_cell_length_c 8.996
_cell_angle_alpha 90.00
_cell_angle_beta 90.00
_cell_angle_gamma 97.31
loop_
_atom_site_label
_atom_site_type_symbol
_atom_site_fract_x
_atom_site_fract_y
_atom_site_fract_z
_atom_site_occupancy
Cr1 Cr 0.500 0.500 0.738 1
Li1 Li 0.000 0.000 0.985 1
Li2 Li 0.500 0.500 0.267 1
Zn1 Zn 0.000 0.000 0.509 1
# total moment	0.00	μB per atom
# formation enthalpy at 0 K	223	meV per atom
# crystal system	orthorhombic
# space-group type	No. 35
# density of states at the Fermi level	3.3	states/eV/cell
# polymorph energy (0 for the lowest one)	0.12	eV per formula unit

=====

No. 9
# Dy4Ge2Pb, relaxed, DFT GGA-PBE
data_Dy4Ge2Pb
_space_group_name_H-M_alt 'P 1'
_space_group_IT_number 1
_space_group_name_Hall 'P 1'
_cell_length_a 8.137
_cell_length_b 8.137
_cell_length_c 8.135
_cell_angle_alpha 109.39
_cell_angle_beta 109.37
_cell_angle_gamma 109.66
loop_
_atom_site_label
_atom_site_type_symbol
_atom_site_fract_x
_atom_site_fract_y
_atom_site_fract_z
_atom_site_occupancy
Dy1 Dy 0.920 0.239 0.319 1
Dy2 Dy 0.330 0.511 0.181 1
Dy3 Dy 0.920 0.600 0.681 1
Dy4 Dy 0.761 0.080 0.681 1
Dy5 Dy 0.400 0.080 0.319 1
Dy6 Dy 0.330 0.150 0.819 1
Dy7 Dy 0.489 0.670 0.819 1
Dy8 Dy 0.850 0.670 0.181 1
Ge1 Ge 0.625 0.375 0.750 1
Ge2 Ge 0.625 0.875 0.250 1
Ge3 Ge 0.625 0.375 0.250 1
Ge4 Ge 0.125 0.375 0.750 1
Pb1 Pb 0.250 0.750 0.500 1
Pb2 Pb 0.000 0.000 0.000 1
# total moment	0.00	μB per atom
# formation enthalpy at 0 K	-563	meV per atom
# crystal system	tetragonal
# space-group type	No. 141
# density of states at the Fermi level	8.0	states/eV/cell

=====

No. 10
# LaNdDy2, relaxed, DFT GGA-PBE
data_LaNdDy2
_space_group_name_H-M_alt 'P 1'
_space_group_IT_number 1
_space_group_name_Hall 'P 1'
_cell_length_a 5.049
_cell_length_b 5.171
_cell_length_c 5.171
_cell_angle_alpha 90.00
_cell_angle_beta 90.00
_cell_angle_gamma 90.00
loop_
_atom_site_label
_atom_site_type_symbol
_atom_site_fract_x
_atom_site_fract_y
_atom_site_fract_z
_atom_site_occupancy
La1 La 0.500 0.000 0.000 1
Nd1 Nd 0.500 0.500 0.500 1
Dy1 Dy 0.000 0.000 0.500 1
Dy2 Dy 0.000 0.500 0.000 1
# total moment	0.00	μB per atom
# formation enthalpy at 0 K	23	meV per atom
# crystal system	tetragonal
# space-group type	No. 123
# density of states at the Fermi level	6.4	states/eV/cell
# polymorph energy (0 for the lowest one)	0.04	eV per formula unit

=====

No. 11
# BeCdHg3, relaxed, DFT GGA-PBE
data_BeCdHg3
_space_group_name_H-M_alt 'P 1'
_space_group_IT_number 1
_space_group_name_Hall 'P 1'
_cell_length_a 5.692
_cell_length_b 5.692
_cell_length_c 5.692
_cell_angle_alpha 90.00
_cell_angle_beta 90.00
_cell_angle_gamma 90.00
loop_
_atom_site_label
_atom_site_type_symbol
_atom_site_fract_x
_atom_site_fract_y
_atom_site_fract_z
_atom_site_occupancy
Be1 Be 0.500 0.500 0.500 1
Hg1 Hg 0.000 0.500 0.000 1
Hg2 Hg 0.000 0.000 0.500 1
Hg3 Hg 0.500 0.000 0.000 1
Cd1 Cd 0.000 0.000 0.000 1
# total moment	0.00	μB per atom
# formation enthalpy at 0 K	759	meV per atom
# crystal system	cubic
# space-group type	No. 221
# density of states at the Fermi level	1.5	states/eV/cell
# polymorph energy (0 for the lowest one)	2.76	eV per formula unit

=====

No. 12
# Th6SiSe3S2, relaxed, DFT GGA-PBE
data_Th6SiSe3S2
_space_group_name_H-M_alt 'P 1'
_space_group_IT_number 1
_space_group_name_Hall 'P 1'
_cell_length_a 4.196
_cell_length_b 8.277
_cell_length_c 9.380
_cell_angle_alpha 104.42
_cell_angle_beta 102.92
_cell_angle_gamma 90.00
loop_
_atom_site_label
_atom_site_type_symbol
_atom_site_fract_x
_atom_site_fract_y
_atom_site_fract_z
_atom_site_occupancy
Th1 Th 0.336 0.905 0.672 1
Th2 Th 0.670 0.572 0.340 1
Th3 Th 0.664 0.095 0.328 1
Th4 Th 0.006 0.245 0.013 1
Th5 Th 0.994 0.755 0.987 1
Th6 Th 0.330 0.428 0.660 1
Si1 Si 0.500 0.000 0.000 1
Se1 Se 0.500 0.500 0.000 1
Se2 Se 0.836 0.168 0.672 1
Se3 Se 0.164 0.832 0.328 1
S1 S 0.832 0.666 0.663 1
S2 S 0.168 0.334 0.337 1
# total moment	0.00	μB per atom
# crystal system	monoclinic
# formation energy (no corrections)	-1.528	eV/atom
# space-group type	No. 12
# density of states at the Fermi level	9.0	states/eV/cell